1.
InBiSe3 | Alexandria | PBE-GGA | relaxed; formation energy without anion corrections = -2.2 eV/f.u.; final energy = -3.847 eV/atom; relative energy among the computed polymorphs = 8 meV/atom
1.0
-0.422 -2.447 -3.150
4.636 -4.643 2.986
-7.831 -3.669 6.453
Se In Bi
6 2 2
Direct
0.416 0.832 0.833
0.238 0.131 0.476
0.762 0.631 0.524
0.090 0.830 0.179
0.584 0.332 0.167
0.910 0.330 0.821
0.349 0.509 0.698
0.651 0.009 0.302
0.160 0.493 0.320
0.840 0.993 0.680

---

2.
In2BiSe | Alexandria | PBE-GGA | relaxed; formation energy without anion corrections = -0.8 eV/f.u.; final energy = -3.409 eV/atom; relative energy among the computed polymorphs = 0 meV/atom
1.0
6.142 0.000 0.000
0.000 6.136 0.241
0.000 -0.480 12.171
In Bi Se
8 4 4
Direct
0.250 0.500 0.889
0.750 0.500 0.111
0.748 0.500 0.638
0.748 0.000 0.862
0.252 0.500 0.362
0.252 0.000 0.138
0.750 0.000 0.389
0.250 0.000 0.611
0.248 0.500 0.625
0.752 0.000 0.125
0.248 0.000 0.875
0.752 0.500 0.375
0.251 0.000 0.375
0.749 0.500 0.875
0.251 0.500 0.125
0.749 0.000 0.625

---

3.
InBi3Se6 | Alexandria | PBE-GGA | relaxed; formation energy without anion corrections = -3.6 eV/f.u.; final energy = -3.891 eV/atom; relative energy among the computed polymorphs = 54 meV/atom
1.0
7.004 0.000 0.000
0.000 9.362 0.023
0.000 -2.067 9.131
Se Bi In
12 6 2
Direct
0.210 0.442 0.900
0.710 0.900 0.442
0.684 0.636 0.689
0.152 0.779 0.221
0.184 0.689 0.636
0.694 0.963 0.037
0.652 0.221 0.779
0.184 0.364 0.311
0.194 0.037 0.963
0.210 0.100 0.558
0.684 0.311 0.364
0.710 0.558 0.100
0.465 0.922 0.707
0.401 0.403 0.597
0.465 0.293 0.078
0.965 0.078 0.293
0.901 0.597 0.403
0.965 0.707 0.922
0.019 0.197 0.803
0.519 0.803 0.197

---

4.
InBiSe3 | Alexandria | PBE-GGA | relaxed; formation energy without anion corrections = 1.0 eV/f.u.; final energy = -3.213 eV/atom; relative energy among the computed polymorphs = 643 meV/atom
1.0
5.550 0.000 0.000
0.000 5.550 0.000
0.000 0.000 5.550
Bi In Se
1 1 3
Direct
0.000 0.000 0.000
0.500 0.500 0.500
0.000 0.500 0.000
0.500 0.000 0.000
0.000 0.000 0.500

---

5.
In4SnBiSe8 | Alexandria | PBE-GGA | relaxed; formation energy without anion corrections = -5.9 eV/f.u.; final energy = -3.759 eV/atom
1.0
8.322 0.000 0.000
4.161 7.207 0.000
4.161 2.402 7.069
In Se Sn Bi
4 8 1 1
Direct
0.001 0.001 0.500
0.498 0.001 0.500
0.628 0.628 0.116
0.001 0.498 0.500
0.779 0.248 0.724
0.248 0.779 0.724
0.226 0.752 0.271
0.233 0.233 0.301
0.752 0.752 0.271
0.248 0.248 0.724
0.752 0.226 0.271
0.762 0.762 0.714
0.370 0.370 0.890
0.002 0.002 0.993

---

6.
InSn2BiSe5 | Alexandria | PBE-GGA | relaxed; formation energy without anion corrections = -3.8 eV/f.u.; final energy = -3.988 eV/atom
1.0
4.135 0.000 0.000
-2.067 9.544 0.000
0.000 0.000 13.449
Se Bi In Sn
10 2 2 4
Direct
0.293 0.585 0.680
0.348 0.697 0.020
0.037 0.074 0.048
0.534 0.069 0.272
0.321 0.643 0.366
0.963 0.926 0.548
0.466 0.931 0.772
0.679 0.357 0.866
0.652 0.303 0.520
0.707 0.415 0.180
0.197 0.393 0.022
0.803 0.607 0.522
0.544 0.089 0.927
0.456 0.911 0.427
0.855 0.709 0.167
0.131 0.263 0.324
0.869 0.737 0.824
0.145 0.291 0.667